No. 1
{
  "formula": "FeOsRu",
  "functional": "PBE-GGA",
  "state": "relaxed",
  "lattice_angstrom": [[0.0000, 2.8197, 2.8197], [2.8197, 0.0000, 2.8197], [2.8197, 2.8197, 0.0000]],
  "species": ["Fe", "Os", "Ru"],
  "fractional_positions": [[0.0000, 0.0000, 0.0000], [0.2500, 0.2500, 0.2500], [0.7500, 0.7500, 0.7500]],
  "ef_ev_per_fu": 2.04,
  "e_above_lowest_polymorph_mev_per_atom": 569.2,
  "crystal_system": "cubic",
  "volume_a3_per_cell": 44.8,
  "total_magnetization_mub_per_fu": 1.49,
  "spacegroup": "No. 216"
}


No. 2
{
  "formula": "FeHgBr2",
  "functional": "PBE-GGA",
  "state": "relaxed",
  "lattice_angstrom": [[0.0000, 3.6236, 3.6236], [3.6236, 0.0000, 3.6236], [3.6236, 3.6236, 0.0000]],
  "species": ["Fe", "Hg", "Br", "Br"],
  "fractional_positions": [[0.0000, 0.0000, 0.0000], [0.5000, 0.5000, 0.5000], [0.2500, 0.2500, 0.2500], [0.7500, 0.7500, 0.7500]],
  "e_above_lowest_polymorph_mev_per_atom": 571.9,
  "crystal_system": "cubic",
  "volume_a3_per_cell": 95.2,
  "total_magnetization_mub_per_fu": 3.52,
  "spacegroup": "No. 225"
}


No. 3
{
  "formula": "PrSmSO2",
  "functional": "PBE-GGA",
  "state": "relaxed",
  "lattice_angstrom": [[-1.9527, 1.9527, 6.2028], [1.9527, -1.9527, 6.2028], [1.9527, 1.9527, -6.2028]],
  "species": ["Pr", "Sm", "S", "O", "O"],
  "fractional_positions": [[0.0000, 0.0000, 0.0000], [0.6984, 0.6984, 0.0000], [0.3515, 0.3515, 0.0000], [0.1036, 0.6036, 0.5000], [0.6036, 0.1036, 0.5000]],
  "crystal_system": "tetragonal",
  "volume_a3_per_cell": 94.6,
  "total_magnetization_mub_per_fu": 0.00,
  "spacegroup": "No. 107",
  "final_energy_ev_per_atom": -7.66
}


No. 4
{
  "formula": "YTcRu",
  "functional": "PBE-GGA",
  "state": "relaxed",
  "lattice_angstrom": [[0.0000, 3.1804, 3.1804], [3.1804, 0.0000, 3.1804], [3.1804, 3.1804, 0.0000]],
  "species": ["Y", "Tc", "Ru"],
  "fractional_positions": [[0.0000, 0.0000, 0.0000], [0.2500, 0.2500, 0.2500], [0.7500, 0.7500, 0.7500]],
  "ef_ev_per_fu": 3.82,
  "e_above_lowest_polymorph_mev_per_atom": 1513.6,
  "crystal_system": "cubic",
  "volume_a3_per_cell": 64.3,
  "total_magnetization_mub_per_fu": 2.80,
  "spacegroup": "No. 216"
}


No. 5
{
  "formula": "Ac2PrAg4",
  "functional": "PBE-GGA",
  "state": "relaxed",
  "lattice_angstrom": [[-2.8723, 2.8723, 6.5058], [2.8723, -2.8723, 6.5058], [2.8723, 2.8723, -6.5058]],
  "species": ["Ac", "Ac", "Pr", "Ag", "Ag", "Ag", "Ag"],
  "fractional_positions": [[0.2137, 0.2137, 0.0000], [0.7863, 0.7863, 0.0000], [0.5000, 0.5000, 0.0000], [0.1122, 0.6122, 0.5000], [0.3878, 0.8878, 0.5000], [0.6122, 0.1122, 0.5000], [0.8878, 0.3878, 0.5000]],
  "ef_ev_per_fu": -0.71,
  "crystal_system": "tetragonal",
  "volume_a3_per_cell": 214.7,
  "total_magnetization_mub_per_fu": 0.00,
  "spacegroup": "No. 139"
}


No. 6
{
  "formula": "ThNpTe2",
  "functional": "PBE-GGA",
  "state": "relaxed",
  "lattice_angstrom": [[3.8063, 0.0000, 0.0000], [0.0000, 3.8063, 0.0000], [0.0000, 0.0000, 7.6957]],
  "species": ["Th", "Np", "Te", "Te"],
  "fractional_positions": [[0.0000, 0.0000, 0.0000], [0.0000, 0.0000, 0.5000], [0.5000, 0.5000, 0.2502], [0.5000, 0.5000, 0.7498]],
  "e_above_lowest_polymorph_mev_per_atom": 0.0,
  "crystal_system": "tetragonal",
  "volume_a3_per_cell": 111.5,
  "total_magnetization_mub_per_fu": 5.22,
  "spacegroup": "No. 123"
}